# 1
Density functional theory data (PBE) for a relaxed structure of Ho2U3Ru4.

The structure belongs to space group Ibam (No. 72); the cell edges are 6.811, 14.312 and 8.370 Å and the angles 90.00°, 90.00° and 90.00°. The distinct sites, in fractional coordinates, are Ho at (0.160, 0.086, 0.000), U at (0.000, 0.268, 0.250), U at (0.000, 0.500, 0.250) and Ru at (0.232, 0.124, 0.332).

As for the formation enthalpy at 0 K: -0.04 eV per atom.

# 2
Density functional theory data (PBE) for a relaxed structure of Sr2GaCu3Sn4.

The structure belongs to space group P-4m2 (No. 115); the cell edges are 4.561, 4.561 and 11.266 Å and the angles 90.00°, 90.00° and 90.00°. The distinct sites, in fractional coordinates, are Sr at (0.000, 0.500, 0.248), Ga at (0.500, 0.500, 0.000), Cu at (0.000, 0.000, 0.000), Cu at (0.000, 0.500, 0.632), Sn at (0.000, 0.000, 0.500), Sn at (0.000, 0.500, 0.863) and Sn at (0.500, 0.500, 0.500).

As for the formation enthalpy at 0 K: -0.35 eV per atom.

# 3
Density functional theory data (PBE) for a relaxed structure of Cs2TlZn2Se4.

The structure belongs to space group C2/m (No. 12); the cell edges are 17.381, 4.184 and 8.400 Å and the angles 90.00°, 110.37° and 90.00°. The distinct sites, in fractional coordinates, are Cs at (0.129, 0.000, 0.027), Tl at (0.000, 0.000, 0.500), Zn at (0.175, 0.500, 0.475), Se at (0.034, 0.500, 0.271) and Se at (0.212, 0.000, 0.660).

Its uncorrected formation energy is -7.07 eV per formula unit.

# 4
Density functional theory data (PBE) for a relaxed structure of Pm3Er2PuS6.

The structure belongs to space group C2/m (No. 12); the cell edges are 17.313, 3.934 and 7.982 Å and the angles 90.00°, 103.71° and 90.00°. The distinct sites, in fractional coordinates, are Pm at (0.000, 0.000, 0.000), Pm at (0.165, 0.500, 0.335), Er at (0.164, 0.500, 0.828), Pu at (0.000, 0.000, 0.500), S at (0.004, 0.500, 0.747), S at (0.166, 0.000, 0.594) and S at (0.171, 0.000, 0.074).

Its uncorrected formation energy is -23.83 eV per formula unit.

# 5
Density functional theory data (PBE) for a relaxed structure of NaSbTe2.

The structure belongs to space group R3m (No. 160, hexagonal axes); the cell edges are 4.4007, 4.4007 and 23.5459 Å and the angles 90.00°, 90.00° and 120.00°. The distinct sites, in fractional coordinates, are Na at (0.0000, 0.0000, 0.0000), Sb at (0.0000, 0.0000, 0.1679), Te at (0.0000, 0.0000, 0.5768) and Te at (0.0000, 0.0000, 0.7588).

Its uncorrected formation energy is -1.76 eV per formula unit.

# 6
Density functional theory data (PBE) for a relaxed structure of HfZrAlTc.

The structure belongs to space group P4mm (No. 99); the cell edges are 3.354, 3.354 and 6.549 Å and the angles 90.00°, 90.00° and 90.00°. The distinct sites, in fractional coordinates, are Hf at (0.000, 0.000, 0.000), Zr at (0.000, 0.000, 0.526), Al at (0.500, 0.500, 0.260) and Tc at (0.500, 0.500, 0.772).

As for the formation enthalpy at 0 K: -0.48 eV per atom.

# 7
Density functional theory data (PBE) for a relaxed structure of Sb2PtIBr.

The structure belongs to space group P4/mmm (No. 123); the cell edges are 5.523, 5.523 and 5.488 Å and the angles 90.00°, 90.00° and 90.00°. The distinct sites, in fractional coordinates, are Sb at (0.000, 0.500, 0.000), Pt at (0.000, 0.000, 0.500), I at (0.500, 0.500, 0.500) and Br at (0.500, 0.500, 0.000).

For the energy above the most stable polymorph in this dataset, the calculation gives 1121 meV/atom. Its uncorrected formation energy is 6.81 eV per formula unit.

# 8
Density functional theory data (PBE) for a relaxed structure of NaCd2Pb.

The structure belongs to space group P2_1/m (No. 11); the cell edges are 5.366, 8.563 and 5.534 Å and the angles 90.00°, 118.37° and 90.00°. The distinct sites, in fractional coordinates, are Na at (0.070, 0.250, 0.138), Cd at (0.269, 0.581, 0.540) and Pb at (0.405, 0.250, 0.804).

As for the formation enthalpy at 0 K: -0.02 eV per atom.

# 9
Density functional theory data (PBE) for a relaxed structure of Sc2TcRh.

The structure belongs to space group Immm (No. 71); the cell edges are 2.843, 5.055 and 10.073 Å and the angles 90.00°, 90.00° and 90.00°. The distinct sites, in fractional coordinates, are Sc at (0.000, 0.000, 0.240), Tc at (0.000, 0.000, 0.500) and Rh at (0.000, 0.000, 0.000).

As for the formation enthalpy at 0 K: 0.37 eV per atom.

# 10
Density functional theory data (PBE) for a relaxed structure of LiNp2Br8.

The structure belongs to space group P-3 (No. 147); the cell edges are 8.9463, 8.9463 and 5.8031 Å and the angles 90.00°, 90.00° and 120.00°. The distinct sites, in fractional coordinates, are Li at (0.0000, 0.0000, 0.0000), Np at (0.3333, 0.6667, 0.2287), Br at (0.1578, 0.3177, 0.2476) and Br at (0.3333, 0.6667, 0.7414).

For the energy above the most stable polymorph in this dataset, the calculation gives 32 meV/atom. Its uncorrected formation energy is -12.84 eV per formula unit.

# 11
Density functional theory data (PBE) for a relaxed structure of NaPt2.

The structure belongs to space group I4/mmm (No. 139); the cell edges are 3.520, 3.520 and 10.204 Å and the angles 90.00°, 90.00° and 90.00°. The distinct sites, in fractional coordinates, are Na at (0.000, 0.000, 0.000) and Pt at (0.000, 0.000, 0.283).

For the energy above the most stable polymorph in this dataset, the calculation gives 385 meV/atom. As for the formation enthalpy at 0 K: 0.00 eV per atom.

# 12
Density functional theory data (PBE) for a relaxed structure of Li3PaPd4O12.

The structure belongs to space group Im-3 (No. 204); the cell edges are 7.590, 7.590 and 7.590 Å and the angles 90.00°, 90.00° and 90.00°. The distinct sites, in fractional coordinates, are Li at (0.000, 0.000, 0.500), Pa at (0.000, 0.000, 0.000), Pd at (0.250, 0.250, 0.250) and O at (0.000, 0.162, 0.286).

Its uncorrected formation energy is -24.52 eV per formula unit.